Entry 1:
# YMgZn | OQMD | GGA-PBE | relaxed
data_YMgZn
_cell_length_a 5.0211
_cell_length_b 5.0211
_cell_length_c 6.1324
_cell_angle_alpha 90.00
_cell_angle_beta 90.00
_cell_angle_gamma 120.00
_space_group_name_H-M_alt 'P 1'
_space_group_IT_number 1
_space_group_name_Hall 'P 1'
loop_
_atom_site_label
_atom_site_type_symbol
_atom_site_fract_x
_atom_site_fract_y
_atom_site_fract_z
Y1 Y 0.3333 0.6667 0.0000
Y2 Y 0.6667 0.3333 0.5000
Mg1 Mg 0.0000 0.0000 0.2513
Mg2 Mg 0.0000 0.0000 0.7513
Zn1 Zn 0.3333 0.6667 0.4975
Zn2 Zn 0.6667 0.3333 0.9975
# space group	No. 186
# density	4.43	Mg/m³
# V	133.9	Å³/cell
# calculated total energy	-20.22	eV per cell

---

Entry 2:
# YMgZn | OQMD | GGA-PBE | relaxed
data_YMgZn
_cell_length_a 3.5026
_cell_length_b 3.5264
_cell_length_c 13.5750
_cell_angle_alpha 89.96
_cell_angle_beta 89.98
_cell_angle_gamma 60.67
_space_group_name_H-M_alt 'P 1'
_space_group_IT_number 1
_space_group_name_Hall 'P 1'
loop_
_atom_site_label
_atom_site_type_symbol
_atom_site_fract_x
_atom_site_fract_y
_atom_site_fract_z
Y1 Y 0.0000 0.0000 0.0000
Y2 Y 0.3333 0.3322 0.7933
Mg1 Mg 0.0000 0.9795 0.5953
Mg2 Mg 0.3333 0.3500 0.4189
Zn1 Zn 0.0000 0.0019 0.2796
Zn2 Zn 0.6667 0.6661 0.1651
# space group	No. 1
# density	4.06	Mg/m³
# V	146.2	Å³/cell
# calculated total energy	-18.28	eV per cell

---

Entry 3:
# YMgZn | OQMD | GGA-PBE | relaxed
data_YMgZn
_cell_length_a 4.7557
_cell_length_b 4.7557
_cell_length_c 10.5098
_cell_angle_alpha 90.00
_cell_angle_beta 90.00
_cell_angle_gamma 120.00
_space_group_name_H-M_alt 'P 1'
_space_group_IT_number 1
_space_group_name_Hall 'P 1'
loop_
_atom_site_label
_atom_site_type_symbol
_atom_site_fract_x
_atom_site_fract_y
_atom_site_fract_z
Y1 Y 0.0000 0.0000 0.0000
Y2 Y 0.0000 0.0000 0.3080
Y3 Y 0.0000 0.0000 0.6368
Mg1 Mg 0.3333 0.6667 0.4769
Mg2 Mg 0.3333 0.6667 0.8301
Mg3 Mg 0.6667 0.3333 0.8014
Zn1 Zn 0.3333 0.6667 0.1436
Zn2 Zn 0.6667 0.3333 0.1522
Zn3 Zn 0.6667 0.3333 0.4861
# space group	No. 156
# density	4.32	Mg/m³
# V	205.9	Å³/cell
# calculated total energy	-29.44	eV per cell

---

Entry 4:
# YMgZn | OQMD | GGA-PBE | relaxed
data_YMgZn
_cell_length_a 4.3631
_cell_length_b 4.3631
_cell_length_c 13.5522
_cell_angle_alpha 90.00
_cell_angle_beta 90.00
_cell_angle_gamma 120.00
_space_group_name_H-M_alt 'P 1'
_space_group_IT_number 1
_space_group_name_Hall 'P 1'
loop_
_atom_site_label
_atom_site_type_symbol
_atom_site_fract_x
_atom_site_fract_y
_atom_site_fract_z
Y1 Y 0.0000 0.0000 0.0000
Y2 Y 0.3333 0.6667 0.5211
Y3 Y 0.6667 0.3333 0.1701
Mg1 Mg 0.0000 0.0000 0.7671
Mg2 Mg 0.6667 0.3333 0.3947
Mg3 Mg 0.6667 0.3333 0.6611
Zn1 Zn 0.0000 0.0000 0.3137
Zn2 Zn 0.3333 0.6667 0.2871
Zn3 Zn 0.6667 0.3333 0.8787
# space group	No. 156
# density	3.98	Mg/m³
# V	223.4	Å³/cell
# calculated total energy	-27.08	eV per cell

---

Entry 5:
# YMgZn | OQMD | GGA-PBE | relaxed
data_YMgZn
_cell_length_a 4.2626
_cell_length_b 4.2626
_cell_length_c 9.5505
_cell_angle_alpha 90.00
_cell_angle_beta 90.00
_cell_angle_gamma 120.00
_space_group_name_H-M_alt 'P 1'
_space_group_IT_number 1
_space_group_name_Hall 'P 1'
loop_
_atom_site_label
_atom_site_type_symbol
_atom_site_fract_x
_atom_site_fract_y
_atom_site_fract_z
Y1 Y 0.0000 0.0000 0.0000
Y2 Y 0.3333 0.6667 0.2836
Mg1 Mg 0.3333 0.6667 0.6287
Mg2 Mg 0.6667 0.3333 0.7862
Zn1 Zn 0.0000 0.0000 0.4835
Zn2 Zn 0.6667 0.3333 0.4723
# space group	No. 156
# density	3.95	Mg/m³
# V	150.3	Å³/cell
# calculated total energy	-18.36	eV per cell

---

Entry 6:
# YMgZn | OQMD | GGA-PBE | relaxed
data_YMgZn
_cell_length_a 4.9950
_cell_length_b 4.9950
_cell_length_c 9.2704
_cell_angle_alpha 90.00
_cell_angle_beta 90.00
_cell_angle_gamma 120.00
_space_group_name_H-M_alt 'P 1'
_space_group_IT_number 1
_space_group_name_Hall 'P 1'
loop_
_atom_site_label
_atom_site_type_symbol
_atom_site_fract_x
_atom_site_fract_y
_atom_site_fract_z
Y1 Y 0.0000 0.0000 0.0000
Y2 Y 0.3333 0.6667 0.5138
Y3 Y 0.6667 0.3333 0.1955
Mg1 Mg 0.0000 0.0000 0.3479
Mg2 Mg 0.0000 0.0000 0.6686
Mg3 Mg 0.3333 0.6667 0.8667
Zn1 Zn 0.3333 0.6667 0.1850
Zn2 Zn 0.6667 0.3333 0.5196
Zn3 Zn 0.6667 0.3333 0.8244
# space group	No. 156
# density	4.44	Mg/m³
# V	200.3	Å³/cell
# calculated total energy	-29.48	eV per cell

---

Entry 7:
# YMgZn | OQMD | GGA-PBE | relaxed
data_YMgZn
_cell_length_a 4.8094
_cell_length_b 4.8094
_cell_length_c 10.2662
_cell_angle_alpha 90.00
_cell_angle_beta 90.00
_cell_angle_gamma 120.00
_space_group_name_H-M_alt 'P 1'
_space_group_IT_number 1
_space_group_name_Hall 'P 1'
loop_
_atom_site_label
_atom_site_type_symbol
_atom_site_fract_x
_atom_site_fract_y
_atom_site_fract_z
Y1 Y 0.0000 0.0000 0.0000
Y2 Y 0.0000 0.0000 0.3324
Y3 Y 0.3333 0.6667 0.5070
Mg1 Mg 0.3333 0.6667 0.8198
Mg2 Mg 0.6667 0.3333 0.1813
Mg3 Mg 0.6667 0.3333 0.6389
Zn1 Zn 0.0000 0.0000 0.6578
Zn2 Zn 0.3333 0.6667 0.1901
Zn3 Zn 0.6667 0.3333 0.8994
# space group	No. 156
# density	4.33	Mg/m³
# V	205.6	Å³/cell
# calculated total energy	-28.73	eV per cell

---

Entry 8:
# YMgZn | OQMD | GGA-PBE | relaxed
data_YMgZn
_cell_length_a 4.8515
_cell_length_b 4.8515
_cell_length_c 9.9269
_cell_angle_alpha 90.00
_cell_angle_beta 90.00
_cell_angle_gamma 120.00
_space_group_name_H-M_alt 'P 1'
_space_group_IT_number 1
_space_group_name_Hall 'P 1'
loop_
_atom_site_label
_atom_site_type_symbol
_atom_site_fract_x
_atom_site_fract_y
_atom_site_fract_z
Y1 Y 0.0000 0.0000 0.0000
Y2 Y 0.0000 0.0000 0.3450
Y3 Y 0.6667 0.3333 0.5710
Mg1 Mg 0.0000 0.0000 0.6851
Mg2 Mg 0.3333 0.6667 0.1690
Mg3 Mg 0.3333 0.6667 0.8034
Zn1 Zn 0.3333 0.6667 0.4958
Zn2 Zn 0.6667 0.3333 0.1737
Zn3 Zn 0.6667 0.3333 0.8772
# space group	No. 156
# density	4.40	Mg/m³
# V	202.3	Å³/cell
# calculated total energy	-29.79	eV per cell